1.
Ba2CoAg, relaxed, DFT GGA-PBE; energy relative to the lowest polymorph listed for this composition = 29 meV per atom; space-group type = Amm2, No. 38
1.0
4.719 0.000 0.000
0.000 2.347 6.072
0.000 -2.347 6.072
Ba Co Ag
2 1 1
Direct
0.000 0.000 0.000
0.500 0.281 0.281
0.500 0.594 0.594
0.000 0.696 0.696

2.
InAgSeN2, relaxed, DFT GGA-PBE; raw formation energy = 1379 meV per atom; energy relative to the lowest polymorph listed for this composition = 0 meV per atom; space-group type = P4/mmm, No. 123
1.0
4.230 0.000 0.000
0.000 4.230 0.000
0.000 0.000 5.785
In Ag Se N
1 1 1 2
Direct
0.000 0.000 0.000
0.500 0.500 0.500
0.000 0.000 0.500
0.000 0.500 0.000
0.500 0.000 0.000

3.
PrZr3P4N12, relaxed, DFT GGA-PBE; raw formation energy = -726 meV per atom; space-group type = R32, No. 155
1.0
5.344 3.086 2.767
-5.344 3.086 2.767
0.000 -6.171 2.767
Pr Zr P N
1 3 4 12
Direct
0.000 0.000 0.000
0.000 0.551 0.449
0.449 0.000 0.551
0.551 0.449 0.000
0.053 0.500 0.947
0.500 0.500 0.500
0.500 0.947 0.053
0.947 0.053 0.500
0.030 0.634 0.788
0.095 0.905 0.500
0.212 0.366 0.970
0.353 0.647 0.500
0.366 0.970 0.212
0.500 0.095 0.905
0.500 0.353 0.647
0.634 0.788 0.030
0.647 0.500 0.353
0.788 0.030 0.634
0.905 0.500 0.095
0.970 0.212 0.366

4.
KHf3Cl, relaxed, DFT GGA-PBE; raw formation energy = 2264 meV per atom; energy relative to the lowest polymorph listed for this composition = 1629 meV per atom; space-group type = Pm-3m, No. 221
1.0
5.121 0.000 0.000
0.000 5.121 0.000
0.000 0.000 5.121
K Hf Cl
1 3 1
Direct
0.000 0.000 0.000
0.000 0.000 0.500
0.000 0.500 0.000
0.500 0.000 0.000
0.500 0.500 0.500

5.
La2EuGd, relaxed, DFT GGA-PBE; energy relative to the lowest polymorph listed for this composition = 0 meV per atom; space-group type = P4/mmm, No. 123
1.0
3.741 0.000 0.000
0.000 3.741 0.000
0.000 0.000 10.570
La Eu Gd
2 1 1
Direct
0.000 0.000 0.237
0.000 0.000 0.763
0.500 0.500 0.500
0.500 0.500 0.000

6.
MgI2NF, relaxed, DFT GGA-PBE; raw formation energy = 732 meV per atom; energy relative to the lowest polymorph listed for this composition = 693 meV per atom; space-group type = P4/mmm, No. 123
1.0
5.642 0.000 0.000
0.000 5.642 0.000
0.000 0.000 3.912
Mg I N F
1 2 1 1
Direct
0.000 0.000 0.000
0.000 0.500 0.500
0.500 0.000 0.500
0.500 0.500 0.000
0.500 0.500 0.500

Number 1: total magnetic moment 0.797 μB/cell, total DFT energy (no corrections) -3.27 eV/atom. Number 2: total magnetic moment 3.691 μB/cell, total DFT energy (no corrections) -3.77 eV/atom. Number 3: total magnetic moment 0.000 μB/cell, total DFT energy (no corrections) -8.32 eV/atom. Number 4: total magnetic moment 0.000 μB/cell, total DFT energy (no corrections) -4.30 eV/atom. Number 5: total magnetic moment 0.119 μB/cell, total DFT energy (no corrections) -8.53 eV/atom. Number 6: total magnetic moment 2.046 μB/cell, total DFT energy (no corrections) -2.25 eV/atom.